Density functional theory data (GGA+U) for a relaxed CaCoTc2O8 crystal.

Unit cell a=5.7875 b=5.7875 c=6.2575 alpha=90.00 beta=90.00 gamma=120.00
With the nearest neighbours (Å) after each atom.
Fractional positions:
O 0.6765 0.8383 0.7925  1 Tc 1.79
O 0.1617 0.3235 0.7925  1 Tc 1.79
O 0.1617 0.8383 0.7925  1 Tc 1.79
O 0.8383 0.1617 0.2075  1 Tc 1.79
O 0.8383 0.6765 0.2075  1 Tc 1.79
O 0.3235 0.1617 0.2075  1 Tc 1.79
O 0.3333 0.6667 0.4333  1 Tc 1.75
O 0.6667 0.3333 0.5667  1 Tc 1.75
Co 0.0000 0.0000 0.0000  6 O 2.08
Ca 0.0000 0.0000 0.5000  6 O 2.45
Tc 0.6667 0.3333 0.2872  4 O 1.75-1.79
Tc 0.3333 0.6667 0.7128  4 O 1.75-1.79

Computed properties:
VASP energy	-7.1616	eV/atom
ρ	3.9	g/cm³